[1]
This record from Alexandria via LeMat-Bulk describes an optimized crystal structure of LaAsIrF. The functional is PBE-GGA.

```
LaAsIrF
1.0
4.086 0.000 0.000
0.000 4.086 0.000
0.000 0.000 8.668
F La As Ir
2 2 2 2
direct
0.500 0.500 0.500
0.000 0.000 0.500
0.000 0.500 0.312
0.500 0.000 0.688
0.500 0.000 0.169
0.000 0.500 0.831
0.500 0.500 0.000
0.000 0.000 0.000
```

Calculated values
calculated total energy: -0.2583 hartree per atom
calculated density: 9.753 g/cm3
magnetic moment: 0.00 μB/f.u.
Fermi-level density of states: 1.35 states/eV/f.u.
E_form (uncorrected): -1952.1 meV/atom



[2]
This record from Alexandria via LeMat-Bulk describes an optimized crystal structure of AsIrNF2. The functional is PBE-GGA.

```
AsIrNF2
1.0
-2.593 3.122 -1.766
-3.416 -2.814 0.039
-0.916 1.159 3.394
As F N Ir
1 2 1 1
direct
0.500 0.500 0.500
0.000 0.500 0.000
0.500 0.000 0.000
0.000 0.000 0.500
0.000 0.000 0.000
```

Calculated values
calculated total energy: -0.1815 hartree per atom
excess energy over the best structure of this formula in the dataset: 0 meV per atom
calculated density: 7.309 g/cm3
magnetic moment: 0.58 μB/f.u.
Fermi-level density of states: 4.48 states/eV/f.u.
E_form (uncorrected): 178.1 meV/atom



[3]
This record from Alexandria via LeMat-Bulk describes an optimized crystal structure of AsIrN2F. The functional is PBE-GGA.

```
AsIrN2F
1.0
3.905 0.000 0.000
0.000 3.905 0.000
0.000 0.000 3.699
F N Ir As
1 2 1 1
direct
0.000 0.000 0.500
0.500 0.000 0.000
0.000 0.500 0.000
0.500 0.500 0.500
0.000 0.000 0.000
```

Calculated values
calculated total energy: -0.1877 hartree per atom
excess energy over the best structure of this formula in the dataset: 455 meV per atom
calculated density: 9.247 g/cm3
magnetic moment: 0.17 μB/f.u.
Fermi-level density of states: 5.18 states/eV/f.u.
E_form (uncorrected): 1298.8 meV/atom



[4]
This record from Alexandria via LeMat-Bulk describes an optimized crystal structure of AsIrN2F. The functional is PBE-GGA.

```
AsIrN2F
1.0
-3.243 1.170 -1.814
-2.151 -1.470 2.896
0.201 3.697 2.026
Ir N F As
1 2 1 1
direct
0.000 0.000 0.000
0.500 0.000 0.000
0.000 0.500 0.000
0.000 0.000 0.500
0.500 0.500 0.500
```

Calculated values
calculated total energy: -0.2044 hartree per atom
excess energy over the best structure of this formula in the dataset: 0 meV per atom
calculated density: 8.146 g/cm3
magnetic moment: 0.00 μB/f.u.
Fermi-level density of states: 3.60 states/eV/f.u.
E_form (uncorrected): 844.1 meV/atom



[5]
This record from Alexandria via LeMat-Bulk describes an optimized crystal structure of AsIrNF2. The functional is PBE-GGA.

```
AsIrNF2
1.0
-2.965 0.768 2.479
1.042 -3.094 2.205
2.676 2.607 2.393
F Ir N As
2 1 1 1
direct
0.500 0.000 0.000
0.000 0.500 0.000
0.500 0.500 0.500
0.000 0.000 0.500
0.000 0.000 0.000
```

Calculated values
calculated total energy: -0.1644 hartree per atom
excess energy over the best structure of this formula in the dataset: 465 meV per atom
calculated density: 7.694 g/cm3
magnetic moment: 2.09 μB/f.u.
Fermi-level density of states: 4.52 states/eV/f.u.
E_form (uncorrected): 643.0 meV/atom